*one*
DFT (PBE) results for a relaxed CrRhPb2 crystal.

DOS at the Fermi energy ... 0.5360 states/eV per atom

Unit cell a=8.914 b=3.442 c=5.621 alpha=90.00 beta=102.69 gamma=90.00
Space group C2/m (No. 12)
Symmetry-distinct sites (fractional):
1 Cr 0.000 0.000 0.000 x2
2 Rh 0.000 0.500 0.500 x2
3 Pb 0.243 0.000 0.739 x4

=====

*two*
DFT (PBE) results for a relaxed CrRhPb2 crystal.

DOS at the Fermi energy ... 0.6773 states/eV per atom

Unit cell a=4.403 b=4.403 c=18.937 alpha=90.00 beta=90.00 gamma=90.00
Space group I-42d (No. 122)
Symmetry-distinct sites (fractional):
1 Cr 0.000 0.000 0.000 x4
2 Rh 0.000 0.000 0.500 x4
3 Pb 0.243 0.250 0.625 x8

=====

*three*
DFT (PBE) results for a relaxed CrRhPb2 crystal.

DOS at the Fermi energy ... 0.7681 states/eV per atom

Unit cell a=6.960 b=6.960 c=6.960 alpha=90.00 beta=90.00 gamma=90.00
Space group F-43m (No. 216)
Symmetry-distinct sites (fractional):
1 Cr 0.000 0.000 0.000 x4
2 Rh 0.250 0.250 0.750 x4
3 Pb 0.000 0.000 0.500 x4
4 Pb 0.250 0.250 0.250 x4

=====

Which of them is the most stable, and which is the least stable? *one* and *two*, in that order.

=====

*one*
DFT (PBE) results for a relaxed CrRhPb2 crystal.

DOS at the Fermi energy ... 0.8464 states/eV per atom

Unit cell a=3.880 b=4.141 c=5.642 alpha=90.00 beta=109.96 gamma=90.00
Space group Pm (No. 6)
Symmetry-distinct sites (fractional):
1 Cr 0.000 0.000 0.000 x1
2 Rh 0.860 0.500 0.722 x1
3 Pb 0.280 0.000 0.558 x1
4 Pb 0.577 0.500 0.157 x1

=====

*two*
DFT (PBE) results for a relaxed CrRhPb2 crystal.

DOS at the Fermi energy ... 1.3661 states/eV per atom

Unit cell a=6.696 b=6.696 c=6.696 alpha=90.00 beta=90.00 gamma=90.00
Space group Fm-3m (No. 225)
Symmetry-distinct sites (fractional):
1 Cr 0.000 0.000 0.000 x4
2 Rh 0.000 0.000 0.500 x4
3 Pb 0.250 0.250 0.250 x8

=====

Which of them is the most stable, and which is the least stable? *one* and *two*, in that order.

=====

*one*
DFT (PBE) results for a relaxed CrRhPb2 crystal.

DOS at the Fermi energy ... 0.9138 states/eV per atom

Unit cell a=3.448 b=3.448 c=6.930 alpha=90.00 beta=90.00 gamma=90.00
Space group P4/mmm (No. 123)
Symmetry-distinct sites (fractional):
1 Cr 0.000 0.000 0.000 x1
2 Rh 0.000 0.000 0.500 x1
3 Pb 0.500 0.500 0.265 x2

=====

*two*
DFT (PBE) results for a relaxed CrRhPb2 crystal.

DOS at the Fermi energy ... 0.4670 states/eV per atom

Unit cell a=4.108 b=4.108 c=9.703 alpha=90.00 beta=90.00 gamma=90.00
Space group I-4m2 (No. 119)
Symmetry-distinct sites (fractional):
1 Cr 0.000 0.000 0.000 x2
2 Rh 0.000 0.500 0.250 x2
3 Pb 0.000 0.000 0.500 x2
4 Pb 0.000 0.500 0.750 x2

=====

*three*
DFT (PBE) results for a relaxed CrRhPb2 crystal.

DOS at the Fermi energy ... 0.7867 states/eV per atom

Unit cell a=3.2115 b=3.2115 c=29.9467 alpha=90.00 beta=90.00 gamma=120.00
Space group R3m (No. 160, hexagonal axes)
Symmetry-distinct sites (fractional):
1 Cr 0.0000 0.0000 0.0000 x3
2 Rh 0.0000 0.0000 0.2751 x3
3 Pb 0.0000 0.0000 0.5306 x3
4 Pb 0.0000 0.0000 0.7505 x3

=====

*four*
DFT (PBE) results for a relaxed CrRhPb2 crystal.

DOS at the Fermi energy ... 0.7532 states/eV per atom

Unit cell a=3.3988 b=3.3988 c=25.7851 alpha=90.00 beta=90.00 gamma=120.00
Space group R-3m (No. 166, hexagonal axes)
Symmetry-distinct sites (fractional):
1 Cr 0.0000 0.0000 0.0000 x3
2 Rh 0.0000 0.0000 0.5000 x3
3 Pb 0.0000 0.0000 0.2446 x6

=====

Which of them is the most stable, and which is the least stable? *one* and *four*, in that order.

=====

*one*
DFT (PBE) results for a relaxed Cr3PbS crystal.

DOS at the Fermi energy ... 1.3322 states/eV per atom

Unit cell a=4.262 b=4.262 c=4.262 alpha=90.00 beta=90.00 gamma=90.00
Space group Pm-3m (No. 221)
Symmetry-distinct sites (fractional):
1 Cr 0.000 0.000 0.500 x3
2 Pb 0.500 0.500 0.500 x1
3 S 0.000 0.000 0.000 x1

=====

*two*
DFT (PBE) results for a relaxed Cr3PbS crystal.

DOS at the Fermi energy ... 0.3137 states/eV per atom

Unit cell a=5.171 b=5.171 c=5.171 alpha=90.00 beta=90.00 gamma=90.00
Space group Pm-3m (No. 221)
Symmetry-distinct sites (fractional):
1 Cr 0.000 0.000 0.500 x3
2 Pb 0.000 0.000 0.000 x1
3 S 0.500 0.500 0.500 x1

=====

Which of them is the most stable, and which is the least stable? *one* and *two*, in that order.

=====

*one*
DFT (PBE) results for a relaxed Cr2PbS crystal.

DOS at the Fermi energy ... 1.3535 states/eV per atom

Unit cell a=6.251 b=6.251 c=6.251 alpha=90.00 beta=90.00 gamma=90.00
Space group Fm-3m (No. 225)
Symmetry-distinct sites (fractional):
1 Cr 0.250 0.250 0.250 x8
2 Pb 0.000 0.000 0.000 x4
3 S 0.000 0.000 0.500 x4

=====

*two*
DFT (PBE) results for a relaxed Cr2PbS crystal.

DOS at the Fermi energy ... 0.7939 states/eV per atom

Unit cell a=6.963 b=6.963 c=6.538 alpha=90.00 beta=90.00 gamma=90.00
Space group I-42d (No. 122)
Symmetry-distinct sites (fractional):
1 Cr 0.179 0.250 0.125 x8
2 Pb 0.000 0.000 0.500 x4
3 S 0.000 0.000 0.000 x4

=====

Which of them is the most stable, and which is the least stable? *two* and *one*, in that order.

=====

*one*
DFT (PBE) results for a relaxed CrPb3S crystal.

DOS at the Fermi energy ... 0.4159 states/eV per atom

Unit cell a=5.196 b=5.196 c=5.196 alpha=90.00 beta=90.00 gamma=90.00
Space group Pm-3m (No. 221)
Symmetry-distinct sites (fractional):
1 Cr 0.000 0.000 0.000 x1
2 Pb 0.000 0.000 0.500 x3
3 S 0.500 0.500 0.500 x1

=====

*two*
DFT (PBE) results for a relaxed CrPb3S crystal.

DOS at the Fermi energy ... 0.6626 states/eV per atom

Unit cell a=5.500 b=5.500 c=5.500 alpha=90.00 beta=90.00 gamma=90.00
Space group Pm-3m (No. 221)
Symmetry-distinct sites (fractional):
1 Cr 0.000 0.000 0.000 x1
2 Pb 0.000 0.500 0.500 x3
3 S 0.500 0.500 0.500 x1

=====

Which of them is the most stable, and which is the least stable? *one* and *two*, in that order.

=====

*one*
DFT (PBE) results for a relaxed Cr2Pb2S crystal.

DOS at the Fermi energy ... 1.1105 states/eV per atom

Unit cell a=3.395 b=3.395 c=17.213 alpha=90.00 beta=90.00 gamma=90.00
Space group I4/mmm (No. 139)
Symmetry-distinct sites (fractional):
1 Cr 0.000 0.500 0.250 x4
2 Pb 0.000 0.000 0.107 x4
3 S 0.000 0.000 0.500 x2

=====

*two*
DFT (PBE) results for a relaxed Cr2Pb2S crystal.

DOS at the Fermi energy ... 1.3247 states/eV per atom

Unit cell a=8.217 b=8.217 c=3.215 alpha=90.00 beta=90.00 gamma=90.00
Space group P4/mbm (No. 127)
Symmetry-distinct sites (fractional):
1 Cr 0.079 0.421 0.000 x4
2 Pb 0.207 0.707 0.500 x4
3 S 0.000 0.000 0.500 x2

=====

Which of them is the most stable, and which is the least stable? *one* and *two*, in that order.